Record 1
A geometry-optimized HoNb2Al6 structure, computed with PBE.

Calculated values
- symmetry = Immm
- ΔE_f (eV/atom) = -0.201

Cell and atoms, written as CIF:
```
data_HoNb2Al6
_chemical_formula_sum 'Ho1 Nb2 Al6'
_cell_length_a 7.5778
_cell_length_b 7.5778
_cell_length_c 7.5778
_cell_angle_alpha 150.39
_cell_angle_beta 125.66
_cell_angle_gamma 63.10
_space_group_name_H-M_alt 'P 1'
_space_group_IT_number 1
_space_group_name_Hall 'P 1'
loop_
_atom_site_label
_atom_site_type_symbol
_atom_site_fract_x
_atom_site_fract_y
_atom_site_fract_z
Ho1 Ho 0.0000 0.0000 0.0000
Nb1 Nb 0.3815 0.8815 0.5000
Nb2 Nb 0.6185 0.1185 0.5000
Al1 Al 0.0143 0.3141 0.7001
Al2 Al 0.3189 0.5000 0.8189
Al3 Al 0.3860 0.6859 0.7001
Al4 Al 0.6140 0.3141 0.2999
Al5 Al 0.6811 0.5000 0.1811
Al6 Al 0.9857 0.6859 0.2999
```

---

Record 2
A geometry-optimized MgH structure, computed with PBE.

Calculated values
- symmetry = I4/m
- calculated total energy (eV/cell) = -18.97

Cell and atoms, written as CIF:
```
data_MgH
_chemical_formula_sum 'Mg4 H4'
_cell_length_a 6.3063
_cell_length_b 6.3063
_cell_length_c 6.3063
_cell_angle_alpha 93.16
_cell_angle_beta 93.16
_cell_angle_gamma 152.83
_space_group_name_H-M_alt 'P 1'
_space_group_IT_number 1
_space_group_name_Hall 'P 1'
loop_
_atom_site_label
_atom_site_type_symbol
_atom_site_fract_x
_atom_site_fract_y
_atom_site_fract_z
Mg1 Mg 0.0779 0.7760 0.8539
Mg2 Mg 0.2240 0.0779 0.3019
Mg3 Mg 0.7760 0.9221 0.6981
Mg4 Mg 0.9221 0.2240 0.1461
H1 H 0.1487 0.3307 0.4794
H2 H 0.3307 0.8513 0.1820
H3 H 0.6693 0.1487 0.8180
H4 H 0.8513 0.6693 0.5206
```

---

Record 3
A geometry-optimized KZnP2O structure, computed with PBE.

Calculated values
- symmetry = P4/mmm
- calculated total energy (eV/cell) = -16.34

Cell and atoms, written as CIF:
```
data_KZnP2O
_chemical_formula_sum 'K1 Zn1 P2 O1'
_cell_length_a 5.1924
_cell_length_b 5.1924
_cell_length_c 3.7230
_cell_angle_alpha 90.00
_cell_angle_beta 90.00
_cell_angle_gamma 90.00
_space_group_name_H-M_alt 'P 1'
_space_group_IT_number 1
_space_group_name_Hall 'P 1'
loop_
_atom_site_label
_atom_site_type_symbol
_atom_site_fract_x
_atom_site_fract_y
_atom_site_fract_z
K1 K 0.0000 0.0000 0.0000
Zn1 Zn 0.5000 0.5000 0.5000
P1 P 0.0000 0.5000 0.5000
P2 P 0.5000 0.0000 0.5000
O1 O 0.5000 0.5000 0.0000
```

---

Record 4
A geometry-optimized Zn2NiRu structure, computed with PBE.

Calculated values
- symmetry = P4/mmm
- ΔE_f (eV/atom) = -0.066

Cell and atoms, written as CIF:
```
data_Zn2NiRu
_chemical_formula_sum 'Zn2 Ni1 Ru1'
_cell_length_a 3.9714
_cell_length_b 3.9714
_cell_length_c 3.3255
_cell_angle_alpha 90.00
_cell_angle_beta 90.00
_cell_angle_gamma 90.00
_space_group_name_H-M_alt 'P 1'
_space_group_IT_number 1
_space_group_name_Hall 'P 1'
loop_
_atom_site_label
_atom_site_type_symbol
_atom_site_fract_x
_atom_site_fract_y
_atom_site_fract_z
Zn1 Zn 0.0000 0.5000 0.0000
Zn2 Zn 0.5000 0.0000 0.0000
Ni1 Ni 0.0000 0.0000 0.5000
Ru1 Ru 0.5000 0.5000 0.5000
```

---

no.,N(E_F) (states/eV/cell)
1,4.727
2,1.632
3,4.415
4,5.242